## BaSeF3 (PBE-GGA)

Data for an optimized crystal structure of BaSeF3.

Output
raw total energy: -4.15 eV per atom
DOS(E_F): 0.000 states/eV/atom
M_tot: 3.00 Bohr magnetons per cell
formation energy from raw total energies: -1950 meV/atom

Cell lengths 5.107, 5.107, 5.107 Å; angles 90.00, 90.00, 90.00 degrees
Space group Pm-3m (No. 221)
Unique sites:
Ba 0.000 0.000 0.000 (multiplicity 1)
Se 0.500 0.500 0.500 (multiplicity 1)
F 0.000 0.000 0.500 (multiplicity 3)